The following is a DFT calculation (GGA-PBE) of a geometry-optimized Mn3BiAs structure.

## Properties
Energy relative to the elements   2.32 eV/f.u.
Symmetry   Pm-3m (221)
Calculated volume   20.28 Å³ per atom
N(E_F)   5.39 states/eV/f.u.

Lattice parameters (Å, degrees): 4.663 4.663 4.663 90.00 90.00 90.00
Sites, in units of the cell vectors:
Mn  0.000  0.000  0.500
Mn  0.000  0.500  0.000
Mn  0.500  0.000  0.000
Bi  0.500  0.500  0.500
As  0.000  0.000  0.000